(1)
Material: NaHSeBr2
Method: DFT, PBE-GGA
State: optimized geometry

a = 5.620 Å, b = 5.620 Å, c = 5.834 Å
α = 90.00°, β = 90.00°, γ = 90.00°
Space group P4/mmm (No. 123)
Symmetry-distinct sites (fractional):
Na 0.000 0.000 0.000
H 0.500 0.500 0.500
Se 0.000 0.000 0.500
Br 0.000 0.500 0.000

Calculated values
offset from the most stable computed form	0.673	eV/atom

=====

(2)
Material: NaHSeBr2
Method: DFT, PBE-GGA
State: optimized geometry

a = 5.482 Å, b = 5.482 Å, c = 3.596 Å
α = 90.00°, β = 90.00°, γ = 90.00°
Space group P4/mmm (No. 123)
Symmetry-distinct sites (fractional):
Na 0.000 0.000 0.000
H 0.500 0.500 0.500
Se 0.500 0.500 0.000
Br 0.000 0.500 0.500

Calculated values
offset from the most stable computed form	0.000	eV/atom

=====

(3)
Material: NaY2HBr
Method: DFT, PBE-GGA
State: optimized geometry

a = 5.715 Å, b = 5.715 Å, c = 5.183 Å
α = 90.00°, β = 90.00°, γ = 90.00°
Space group P4/mmm (No. 123)
Symmetry-distinct sites (fractional):
Na 0.000 0.000 0.000
Y 0.000 0.500 0.000
H 0.500 0.500 0.500
Br 0.000 0.000 0.500

=====

(4)
Material: NbHBr3
Method: DFT, PBE-GGA
State: optimized geometry

a = 4.628 Å, b = 4.628 Å, c = 4.628 Å
α = 90.00°, β = 90.00°, γ = 90.00°
Space group Pm-3m (No. 221)
Symmetry-distinct sites (fractional):
Nb 0.000 0.000 0.000
H 0.500 0.500 0.500
Br 0.000 0.500 0.500

Calculated values
offset from the most stable computed form	0.662	eV/atom

=====

(5)
Material: NbHBr2
Method: DFT, PBE-GGA
State: optimized geometry

a = 6.583 Å, b = 6.583 Å, c = 6.583 Å
α = 90.00°, β = 90.00°, γ = 90.00°
Space group Fm-3m (No. 225)
Symmetry-distinct sites (fractional):
Nb 0.000 0.000 0.000
H 0.000 0.000 0.500
Br 0.250 0.250 0.250

=====

(6)
Material: NbH2Br6
Method: DFT, PBE-GGA
State: optimized geometry

a = 15.343 Å, b = 13.236 Å, c = 6.337 Å
α = 90.00°, β = 98.26°, γ = 90.00°
Space group C2/c (No. 15)
Symmetry-distinct sites (fractional):
Nb 0.000 0.076 0.250
H 0.128 0.478 0.771
Br 0.100 0.074 0.627
Br 0.102 0.201 0.128
Br 0.129 0.411 0.590

=====

Number 1: electronic total energy -1.8077 eV/atom, Fermi-level density of states 4.5 states/eV/f.u.. Number 2: electronic total energy -2.4810 eV/atom, Fermi-level density of states 3.6 states/eV/f.u.. Number 3: electronic total energy -2.9688 eV/atom, Fermi-level density of states 8.5 states/eV/f.u.. Number 4: electronic total energy -3.0143 eV/atom, Fermi-level density of states 2.1 states/eV/f.u.. Number 5: electronic total energy -3.8369 eV/atom, Fermi-level density of states 0.5 states/eV/f.u.. Number 6: electronic total energy -3.5408 eV/atom, Fermi-level density of states 0.7 states/eV/f.u..